Entry 1:
{"formula": "BaPt", "functional": "SCAN", "state": "PBEsol geometry", "formation_energy_ev_per_atom": -0.775, "dos_at_fermi_per_ev_atom": 0.796, "sg": "No. 166", "lattice_angstrom": [[2.250, 1.299, 8.281], [-2.250, 1.299, 8.281], [0.000, -2.598, 8.281]], "species": ["Ba", "Ba", "Pt", "Pt"], "fractional_positions": [[0.082, 0.082, 0.082], [0.918, 0.918, 0.918], [0.333, 0.333, 0.333], [0.667, 0.667, 0.667]]}

Entry 2:
{"formula": "Te2As2Cl", "functional": "SCAN", "state": "PBEsol geometry", "e_tot_ha_per_atom": -0.9006, "dos_at_fermi_per_ev_atom": 0.515, "sg": "No. 139", "lattice_angstrom": [[-2.466, 2.466, 5.877], [2.466, -2.466, 5.877], [2.466, 2.466, -5.877]], "species": ["Te", "Te", "As", "As", "Cl"], "fractional_positions": [[0.148, 0.148, 0.000], [0.852, 0.852, 0.000], [0.250, 0.750, 0.500], [0.750, 0.250, 0.500], [0.500, 0.500, 0.000]]}

Entry 3:
{"formula": "LaTb3", "functional": "SCAN", "state": "PBEsol geometry", "formation_energy_ev_per_atom": 0.033, "dos_at_fermi_per_ev_atom": 1.387, "sg": "No. 139", "lattice_angstrom": [[-2.504, 2.504, 4.972], [2.504, -2.504, 4.972], [2.504, 2.504, -4.972]], "species": ["La", "Tb", "Tb", "Tb"], "fractional_positions": [[0.000, 0.000, 0.000], [0.250, 0.750, 0.500], [0.500, 0.500, 0.000], [0.750, 0.250, 0.500]]}

Entry 4:
{"formula": "TlCo2S2", "functional": "SCAN", "state": "PBEsol geometry", "relative_energy_mev_per_atom": 0, "dos_at_fermi_per_ev_atom": 0.517, "sg": "No. 139", "lattice_angstrom": [[-1.826, 1.826, 6.330], [1.826, -1.826, 6.330], [1.826, 1.826, -6.330]], "species": ["Tl", "Co", "Co", "S", "S"], "fractional_positions": [[0.000, 0.000, 0.000], [0.250, 0.750, 0.500], [0.750, 0.250, 0.500], [0.344, 0.344, 0.000], [0.656, 0.656, 0.000]]}

Entry 5:
{"formula": "NdHoTl2", "functional": "SCAN", "state": "PBEsol geometry", "formation_energy_ev_per_atom": -0.553, "dos_at_fermi_per_ev_atom": 0.777, "sg": "No. 225", "lattice_angstrom": [[0.000, 3.771, 3.771], [3.771, 0.000, 3.771], [3.771, 3.771, 0.000]], "species": ["Nd", "Ho", "Tl", "Tl"], "fractional_positions": [[0.000, 0.000, 0.000], [0.500, 0.500, 0.500], [0.250, 0.250, 0.250], [0.750, 0.750, 0.750]]}

Entry 6:
{"formula": "MgBiRu3", "functional": "SCAN", "state": "PBEsol geometry", "relative_energy_mev_per_atom": 0, "formation_energy_ev_per_atom": 1.535, "dos_at_fermi_per_ev_atom": 1.222, "sg": "No. 221", "lattice_angstrom": [[4.479, 0.000, 0.000], [0.000, 4.479, 0.000], [0.000, 0.000, 4.479]], "species": ["Mg", "Bi", "Ru", "Ru", "Ru"], "fractional_positions": [[0.000, 0.000, 0.000], [0.500, 0.500, 0.500], [0.000, 0.000, 0.500], [0.000, 0.500, 0.000], [0.500, 0.000, 0.000]]}

Entry 7:
{"formula": "Cu2Au", "functional": "SCAN", "state": "PBEsol geometry", "relative_energy_mev_per_atom": 85, "formation_energy_ev_per_atom": 0.012, "dos_at_fermi_per_ev_atom": 0.309, "sg": "No. 227", "lattice_angstrom": [[0.000, 3.406, 3.406], [3.406, 0.000, 3.406], [3.406, 3.406, 0.000]], "species": ["Cu", "Cu", "Cu", "Cu", "Au", "Au"], "fractional_positions": [[0.000, 0.000, 0.000], [0.000, 0.000, 0.500], [0.000, 0.500, 0.000], [0.500, 0.000, 0.000], [0.375, 0.375, 0.375], [0.625, 0.625, 0.625]]}

Entry 8:
{"formula": "La5Cd3", "functional": "SCAN", "state": "PBEsol geometry", "relative_energy_mev_per_atom": 0, "formation_energy_ev_per_atom": -0.311, "dos_at_fermi_per_ev_atom": 0.883, "sg": "No. 140", "lattice_angstrom": [[-6.326, 6.326, 2.986], [6.326, -6.326, 2.986], [6.326, 6.326, -2.986]], "species": ["La", "La", "La", "La", "La", "La", "La", "La", "La", "La", "Cd", "Cd", "Cd", "Cd", "Cd", "Cd"], "fractional_positions": [[0.086, 0.775, 0.862], [0.225, 0.086, 0.311], [0.250, 0.750, 0.500], [0.275, 0.586, 0.862], [0.414, 0.275, 0.689], [0.586, 0.725, 0.311], [0.725, 0.414, 0.138], [0.750, 0.250, 0.500], [0.775, 0.914, 0.689], [0.914, 0.225, 0.138], [0.163, 0.337, 0.500], [0.250, 0.250, 0.000], [0.337, 0.837, 0.175], [0.663, 0.163, 0.825], [0.750, 0.750, 0.000], [0.837, 0.663, 0.500]]}

In μB/atom, the spin magnetization values for the records above are, in order, 0.001, 0.000, 0.000, 0.396, 0.001, 0.208, 0.000, 0.026.